5
Lattice="5.266 0.000 0.000 0.000 5.266 0.000 0.000 0.000 5.161" Properties=species:S:1:pos:R:3 comment="SrCdHg2Rh (PBE, optimized geometry)" sg="P4/mmm (123)" ef_ev_per_fu=-0.938 pbc="T T T"
Sr 0.000 0.000 0.000
Cd 2.633 2.633 0.000
Hg 0.000 2.633 2.581
Hg 2.633 0.000 2.581
Rh 2.633 2.633 2.581